[1]
{
  "formula": "KZrAl4",
  "functional": "GGA-PBEsol",
  "state": "relaxed",
  "lattice_angstrom": [[0.0000, 3.8884, 3.8884], [3.8884, 0.0000, 3.8884], [3.8884, 3.8884, 0.0000]],
  "species": ["K", "Zr", "Al", "Al", "Al", "Al"],
  "fractional_positions": [[0.0000, 0.0000, 0.0000], [0.2500, 0.2500, 0.2500], [0.1273, 0.6242, 0.6242], [0.6242, 0.1273, 0.6242], [0.6242, 0.6242, 0.1273], [0.6242, 0.6242, 0.6242]],
  "ef_ev_per_atom": 0.038,
  "e_tot_ev_per_atom": -4.39,
  "crystal_system": "cubic",
  "m_tot_mub_per_cell": 0.00
}

---

[2]
{
  "formula": "KZrAl3",
  "functional": "GGA-PBEsol",
  "state": "relaxed",
  "lattice_angstrom": [[4.9193, 0.0000, 0.0000], [0.0000, 4.9193, 0.0000], [0.0000, 0.0000, 4.9193]],
  "species": ["K", "Zr", "Al", "Al", "Al"],
  "fractional_positions": [[0.0000, 0.0000, 0.0000], [0.5000, 0.5000, 0.5000], [0.0000, 0.0000, 0.5000], [0.0000, 0.5000, 0.0000], [0.5000, 0.0000, 0.0000]],
  "ef_ev_per_atom": 1.606,
  "e_tot_ev_per_atom": -2.89,
  "crystal_system": "cubic",
  "m_tot_mub_per_cell": 0.00
}

---

[3]
{
  "formula": "KZr2Al",
  "functional": "GGA-PBEsol",
  "state": "relaxed",
  "lattice_angstrom": [[1.5343, 0.8858, 11.7154], [-1.5343, 0.8858, 11.7154], [0.0000, -1.7717, 11.7154]],
  "species": ["K", "Zr", "Zr", "Al"],
  "fractional_positions": [[0.0000, 0.0000, 0.0000], [0.2357, 0.2357, 0.2357], [0.7643, 0.7643, 0.7643], [0.5000, 0.5000, 0.5000]],
  "ef_ev_per_atom": 0.365,
  "e_tot_ev_per_atom": -5.49,
  "crystal_system": "trigonal",
  "m_tot_mub_per_cell": 0.00
}

---

[4]
{
  "formula": "KZr2Al",
  "functional": "GGA-PBEsol",
  "state": "relaxed",
  "lattice_angstrom": [[3.0408, 0.0000, 0.0000], [0.0000, 3.0408, 0.0000], [0.0000, 0.0000, 10.7054]],
  "species": ["K", "Zr", "Zr", "Al"],
  "fractional_positions": [[0.0000, 0.0000, 0.0000], [0.0000, 0.0000, 0.5365], [0.5000, 0.5000, 0.3268], [0.5000, 0.5000, 0.7394]],
  "ef_ev_per_atom": 0.217,
  "e_tot_ev_per_atom": -5.63,
  "crystal_system": "tetragonal",
  "m_tot_mub_per_cell": 0.00
}

---

[5]
{
  "formula": "La5Al",
  "functional": "GGA-PBEsol",
  "state": "relaxed",
  "lattice_angstrom": [[6.4360, -1.8932, 0.0000], [6.4360, 1.8932, 0.0000], [-2.6744, 0.0000, 8.2766]],
  "species": ["La", "La", "La", "La", "La", "Al"],
  "fractional_positions": [[0.0000, 0.0000, 0.0000], [0.0195, 0.0195, 0.6144], [0.3782, 0.3782, 0.2688], [0.6764, 0.6764, 0.3903], [0.7268, 0.7268, 0.8982], [0.3310, 0.3310, 0.6810]],
  "ef_ev_per_atom": -0.077,
  "relative_energy_ev_per_fu": 0.05,
  "e_tot_ev_per_atom": -5.21,
  "crystal_system": "monoclinic",
  "m_tot_mub_per_cell": 0.00
}

---

[6]
{
  "formula": "La3Al",
  "functional": "GGA-PBEsol",
  "state": "relaxed",
  "lattice_angstrom": [[-1.7979, 5.5609, 2.9609], [1.7979, -5.5609, 2.9609], [1.7979, 5.5609, -2.9609]],
  "species": ["La", "La", "La", "Al"],
  "fractional_positions": [[0.0000, 0.0000, 0.0000], [0.1526, 0.3759, 0.7767], [0.5992, 0.3759, 0.2233], [0.5369, 0.0369, 0.5000]],
  "ef_ev_per_atom": -0.149,
  "e_tot_ev_per_atom": -5.18,
  "crystal_system": "orthorhombic",
  "m_tot_mub_per_cell": 0.00
}

---

[7]
{
  "formula": "La3Al",
  "functional": "GGA-PBEsol",
  "state": "relaxed",
  "lattice_angstrom": [[3.6535, 0.0000, 0.0000], [0.0000, 3.6535, 0.0000], [0.0000, 0.0000, 9.0037]],
  "species": ["La", "La", "La", "Al"],
  "fractional_positions": [[0.0000, 0.0000, 0.0000], [0.5000, 0.5000, 0.2849], [0.5000, 0.5000, 0.7151], [0.0000, 0.0000, 0.5000]],
  "ef_ev_per_atom": -0.150,
  "e_tot_ev_per_atom": -5.18,
  "crystal_system": "tetragonal",
  "m_tot_mub_per_cell": 0.00
}

---

[8]
{
  "formula": "La3Al",
  "functional": "GGA-PBEsol",
  "state": "relaxed",
  "lattice_angstrom": [[5.6711, -1.7855, 0.0000], [5.6711, 1.7855, 0.0000], [-1.0951, 0.0000, 5.7328]],
  "species": ["La", "La", "La", "Al"],
  "fractional_positions": [[0.0000, 0.0000, 0.0000], [0.2329, 0.2329, 0.7214], [0.7671, 0.7671, 0.2786], [0.5000, 0.5000, 0.5000]],
  "ef_ev_per_atom": -0.148,
  "e_tot_ev_per_atom": -5.18,
  "crystal_system": "monoclinic",
  "m_tot_mub_per_cell": 0.00
}

---

What is the formula in the second record?
KZrAl3